No. 1
DFT (PBE) results for a geometry-optimized Tb3Nd2Tm6Pu structure.

a b c (Å): 6.123 6.123 11.614
angles (deg): 95.05 95.05 120.02
Sites, in units of the cell vectors:
Tb (0.000, 0.000, 0.000)
Tb (0.333, 0.667, 0.000)
Tb (0.667, 0.333, 0.000)
Nd (0.167, 0.833, 0.500)
Nd (0.833, 0.167, 0.500)
Tm (0.088, 0.417, 0.250)
Tm (0.254, 0.254, 0.750)
Tm (0.417, 0.088, 0.250)
Tm (0.583, 0.912, 0.750)
Tm (0.746, 0.746, 0.250)
Tm (0.912, 0.583, 0.750)
Pu (0.500, 0.500, 0.500)

Calculated values
For the density of states at the Fermi level, the calculation gives 1.95 states/eV per atom. As for the total energy: -5.3354 eV per atom. The crystal system is monoclinic. For the energy of formation, the calculation gives 46.9 meV per atom.



No. 2
DFT (PBE) results for a geometry-optimized Hg2GeSbAu structure.

a b c (Å): 5.278 5.278 4.944
angles (deg): 90.00 90.00 90.00
Sites, in units of the cell vectors:
Hg (0.000, 0.500, 0.000)
Hg (0.500, 0.000, 0.000)
Ge (0.000, 0.000, 0.000)
Sb (0.500, 0.500, 0.500)
Au (0.000, 0.000, 0.500)

Calculated values
For the density of states at the Fermi level, the calculation gives 1.29 states/eV per atom. As for the total energy: -2.0623 eV per atom. The crystal system is tetragonal.



No. 3
DFT (PBE) results for a geometry-optimized Os2RhSe structure.

a b c (Å): 4.618 4.618 4.618
angles (deg): 127.93 127.93 76.74
Sites, in units of the cell vectors:
Os (0.250, 0.750, 0.500)
Os (0.750, 0.250, 0.500)
Rh (0.000, 0.000, 0.000)
Se (0.500, 0.500, 0.000)

Calculated values
For the density of states at the Fermi level, the calculation gives 0.88 states/eV per atom. As for the total energy: -7.6105 eV per atom. The crystal system is tetragonal.



No. 4
DFT (PBE) results for a geometry-optimized BaP2 structure.

a b c (Å): 4.391 4.391 4.476
angles (deg): 90.22 90.22 66.68
Sites, in units of the cell vectors:
Ba (0.000, 0.000, 0.000)
P (0.356, 0.356, 0.496)
P (0.644, 0.644, 0.504)

Calculated values
For the density of states at the Fermi level, the calculation gives 0.33 states/eV per atom. As for the total energy: -4.9447 eV per atom. The crystal system is monoclinic. For the energy of formation, the calculation gives -697.2 meV per atom.



No. 5
DFT (PBE) results for a geometry-optimized AlCuAg4 structure.

a b c (Å): 5.424 5.424 5.424
angles (deg): 60.00 60.00 60.00
Sites, in units of the cell vectors:
Al (0.000, 0.000, 0.000)
Cu (0.750, 0.750, 0.750)
Ag (0.375, 0.375, 0.375)
Ag (0.375, 0.375, 0.875)
Ag (0.375, 0.875, 0.375)
Ag (0.875, 0.375, 0.375)

Calculated values
For the density of states at the Fermi level, the calculation gives 0.68 states/eV per atom. As for the total energy: -2.8786 eV per atom. The crystal system is cubic. For the energy of formation, the calculation gives 328.7 meV per atom.



No. 6
DFT (PBE) results for a geometry-optimized Sm2Dy6Ga structure.

a b c (Å): 9.790 9.790 3.523
angles (deg): 90.07 90.07 56.71
Sites, in units of the cell vectors:
Sm (0.176, 0.176, 0.499)
Sm (0.824, 0.824, 0.501)
Dy (0.167, 0.509, 0.001)
Dy (0.223, 0.777, 0.500)
Dy (0.491, 0.833, 0.999)
Dy (0.509, 0.167, 0.001)
Dy (0.777, 0.223, 0.500)
Dy (0.833, 0.491, 0.999)
Ga (0.500, 0.500, 0.000)

Calculated values
For the density of states at the Fermi level, the calculation gives 1.36 states/eV per atom. As for the total energy: -4.4260 eV per atom. The crystal system is monoclinic. For the energy of formation, the calculation gives 27.0 meV per atom.



No. 7
DFT (PBE) results for a geometry-optimized Ce2CoRu structure.

a b c (Å): 7.006 5.085 11.340
angles (deg): 90.00 127.42 90.00
Sites, in units of the cell vectors:
Ce (0.201, 0.102, 0.351)
Ce (0.201, 0.398, 0.851)
Ce (0.287, 0.637, 0.601)
Ce (0.287, 0.863, 0.101)
Ce (0.713, 0.137, 0.899)
Ce (0.713, 0.363, 0.399)
Ce (0.799, 0.602, 0.149)
Ce (0.799, 0.898, 0.649)
Co (0.356, 0.688, 0.368)
Co (0.356, 0.812, 0.868)
Co (0.644, 0.188, 0.132)
Co (0.644, 0.312, 0.632)
Ru (0.215, 0.147, 0.612)
Ru (0.215, 0.353, 0.112)
Ru (0.785, 0.647, 0.888)
Ru (0.785, 0.853, 0.388)

Calculated values
For the density of states at the Fermi level, the calculation gives 1.05 states/eV per atom. As for the total energy: -7.3517 eV per atom. The crystal system is monoclinic. For the energy of formation, the calculation gives -289.3 meV per atom.



No. 8
DFT (PBE) results for a geometry-optimized LuZrV4 structure.

a b c (Å): 5.260 5.260 5.260
angles (deg): 60.00 60.00 60.00
Sites, in units of the cell vectors:
Lu (0.000, 0.000, 0.000)
Zr (0.250, 0.250, 0.250)
V (0.124, 0.625, 0.625)
V (0.625, 0.124, 0.625)
V (0.625, 0.625, 0.124)
V (0.625, 0.625, 0.625)

Calculated values
For the density of states at the Fermi level, the calculation gives 2.60 states/eV per atom. As for the total energy: -8.0627 eV per atom. The crystal system is cubic. For the energy of formation, the calculation gives 194.5 meV per atom.



No. 9
DFT (PBE) results for a geometry-optimized Cs2VWI6 structure.

a b c (Å): 8.246 8.246 8.246
angles (deg): 120.09 120.09 89.84
Sites, in units of the cell vectors:
Cs (0.250, 0.750, 0.500)
Cs (0.750, 0.250, 0.500)
V (0.000, 0.000, 0.000)
W (0.500, 0.500, 0.000)
I (0.253, 0.253, 0.000)
I (0.254, 0.254, 0.508)
I (0.254, 0.746, 0.000)
I (0.746, 0.254, 0.000)
I (0.746, 0.746, 0.492)
I (0.747, 0.747, 0.000)

Calculated values
For the density of states at the Fermi level, the calculation gives 0.39 states/eV per atom. As for the total energy: -3.7554 eV per atom. The crystal system is tetragonal.



No. 10
DFT (PBE) results for a geometry-optimized Y6Zn5Hg structure.

a b c (Å): 8.064 8.064 7.236
angles (deg): 90.00 90.00 143.18
Sites, in units of the cell vectors:
Y (0.000, 0.000, 0.243)
Y (0.000, 0.000, 0.757)
Y (0.331, 0.669, 0.246)
Y (0.331, 0.669, 0.754)
Y (0.669, 0.331, 0.246)
Y (0.669, 0.331, 0.754)
Zn (0.167, 0.833, 0.000)
Zn (0.169, 0.831, 0.500)
Zn (0.500, 0.500, 0.000)
Zn (0.831, 0.169, 0.500)
Zn (0.833, 0.167, 0.000)
Hg (0.500, 0.500, 0.500)

Calculated values
For the density of states at the Fermi level, the calculation gives 1.09 states/eV per atom. As for the total energy: -4.1703 eV per atom. The crystal system is orthorhombic. For the energy of formation, the calculation gives -382.3 meV per atom.



No. 11
DFT (PBE) results for a geometry-optimized NaMo2Ru2 structure.

a b c (Å): 7.749 7.749 2.786
angles (deg): 90.00 90.00 90.00
Sites, in units of the cell vectors:
Na (0.000, 0.000, 0.000)
Na (0.500, 0.500, 0.000)
Mo (0.150, 0.350, 0.500)
Mo (0.350, 0.850, 0.500)
Mo (0.650, 0.150, 0.500)
Mo (0.850, 0.650, 0.500)
Ru (0.141, 0.641, 0.000)
Ru (0.359, 0.141, 0.000)
Ru (0.641, 0.859, 0.000)
Ru (0.859, 0.359, 0.000)

Calculated values
For the density of states at the Fermi level, the calculation gives 0.66 states/eV per atom. As for the total energy: -7.9970 eV per atom. The crystal system is tetragonal. For the energy of formation, the calculation gives 309.6 meV per atom.



No. 12
DFT (PBE) results for a geometry-optimized Sr2IrW structure.

a b c (Å): 4.144 4.144 5.145
angles (deg): 90.00 90.00 90.00
Sites, in units of the cell vectors:
Sr (0.000, 0.500, 0.000)
Sr (0.500, 0.000, 0.000)
Ir (0.000, 0.000, 0.500)
W (0.500, 0.500, 0.500)

Calculated values
For the density of states at the Fermi level, the calculation gives 0.88 states/eV per atom. As for the total energy: -5.2953 eV per atom. The crystal system is tetragonal. For the energy of formation, the calculation gives 999.1 meV per atom.